(1)
Computed, not measured: a relaxed Rb2NbCl6 crystal at the PBE level of DFT.

Cell and atoms, written as POSCAR:
```
Rb2NbCl6
1.0
-3.6547 3.6547 5.1633
3.6547 -3.6547 5.1633
3.6547 3.6547 -5.1633
Rb Nb Cl
2 1 6
Direct
0.2500 0.7500 0.5000
0.7500 0.2500 0.5000
0.0000 0.0000 0.0000
0.2362 0.2362 0.0000
0.2360 0.2360 0.4720
0.2360 0.7640 0.0000
0.7640 0.2360 0.0000
0.7638 0.7638 0.0000
0.7640 0.7640 0.5280
```

Calculated values
DOS(E_F): 6.9 states/eV/cell
ΔE_f (raw): -1.62 eV per atom
DFT total energy: -37.7 eV per formula unit

(2)
Computed, not measured: a relaxed Ca3Cu2Pd3 crystal at the PBE level of DFT.

Cell and atoms, written as POSCAR:
```
Ca3Cu2Pd3
1.0
2.1830 -5.2787 0.0000
2.1830 5.2787 0.0000
0.0000 0.0000 14.4614
Ca Cu Pd
6 4 6
Direct
0.0848 0.9152 0.6045
0.0848 0.9152 0.8955
0.3644 0.6356 0.7500
0.6356 0.3644 0.2500
0.9152 0.0848 0.1045
0.9152 0.0848 0.3955
0.2152 0.7848 0.0990
0.2152 0.7848 0.4010
0.7848 0.2152 0.5990
0.7848 0.2152 0.9010
0.3448 0.6552 0.2500
0.3817 0.6183 0.5413
0.3817 0.6183 0.9587
0.6183 0.3817 0.0413
0.6183 0.3817 0.4587
0.6552 0.3448 0.7500
```

Calculated values
DOS(E_F): 5.7 states/eV/cell
DFT total energy: -33.6 eV per formula unit

(3)
Computed, not measured: a relaxed Ac2CBr crystal at the PBE level of DFT.

Cell and atoms, written as POSCAR:
```
Ac2CBr
1.0
2.0160 1.1640 8.0285
-2.0160 1.1640 8.0285
0.0000 -2.3279 8.0285
Ac C Br
2 1 1
Direct
0.2286 0.2286 0.2286
0.7714 0.7714 0.7714
0.5000 0.5000 0.5000
0.0000 0.0000 0.0000
```

Calculated values
Offset from the most stable computed form: 0 meV/atom
DOS(E_F): 1.8 states/eV/cell
ΔE_f (raw): -0.73 eV per atom
DFT total energy: -22.0 eV per formula unit

(4)
Computed, not measured: a relaxed NpUGeRu crystal at the PBE level of DFT.

Cell and atoms, written as POSCAR:
```
NpUGeRu
1.0
-2.0636 2.0636 4.4260
2.0636 -2.0636 4.4260
2.0636 2.0636 -4.4260
Np U Ge Ru
1 1 1 1
Direct
0.0000 0.0000 0.0000
0.2500 0.7500 0.5000
0.7500 0.2500 0.5000
0.5000 0.5000 0.0000
```

Calculated values
Offset from the most stable computed form: 0 meV/atom
DOS(E_F): 7.4 states/eV/cell
DFT total energy: -38.7 eV per formula unit